SmMg: relaxed, PBE.

Geometry as POSCAR:
```
SmMg
1.0
4.297 -0.245 2.619
-0.048 0.691 4.990
0.849 -3.888 3.090
Sm Mg
1 1
Cartesian
1.274 -0.860 2.675
0.000 0.000 0.000
```

Values from the calculation:
- Raw total energy: -1.93 eV/atom
- Size of the total moment: 0.04 μB/cell